Hf3Cu4Ge2 (SCAN, single point on PBEsol structure); energy of formation = -0.511 eV/atom; uncorrected energy = -32.40 eV/atom
1.0
3.960 0.000 0.000
0.000 6.286 0.000
0.000 -3.143 5.444
Cu Ge Hf
4 2 3
direct
0.000 0.761 0.761 Cu
0.500 0.000 0.000 Cu
0.000 0.000 0.239 Cu
0.000 0.239 0.000 Cu
0.000 0.333 0.667 Ge
0.000 0.667 0.333 Ge
0.500 0.000 0.588 Hf
0.500 0.588 0.000 Hf
0.500 0.412 0.412 Hf